Record 1
Compound: TmPa2PN5
Source: Alexandria via LeMat-Bulk
Functional: GGA-PBE
Structure: relaxed

a = 6.580 Å, b = 6.580 Å, c = 5.353 Å
α = 90.00°, β = 90.00°, γ = 90.00°
Fractional positions:
Tm (0.000, 0.000, 0.000)
Tm (0.500, 0.500, 0.000)
Pa (0.175, 0.325, 0.500)
Pa (0.325, 0.825, 0.500)
Pa (0.675, 0.175, 0.500)
Pa (0.825, 0.675, 0.500)
P (0.000, 0.500, 0.000)
P (0.500, 0.000, 0.000)
N (0.000, 0.000, 0.500)
N (0.139, 0.639, 0.234)
N (0.139, 0.639, 0.766)
N (0.361, 0.139, 0.234)
N (0.361, 0.139, 0.766)
N (0.500, 0.500, 0.500)
N (0.639, 0.861, 0.234)
N (0.639, 0.861, 0.766)
N (0.861, 0.361, 0.234)
N (0.861, 0.361, 0.766)

Properties
space group	P4/mbm (127)
formation energy (no corrections)	-1.04	eV/atom
calculated volume	231.8	Å³/cell
total magnetic moment	0.0	μB/f.u.

***

Record 2
Compound: UPaPN2
Source: Alexandria via LeMat-Bulk
Functional: GGA-PBE
Structure: relaxed

a = 6.460 Å, b = 6.460 Å, c = 6.460 Å
α = 146.16°, β = 146.16°, γ = 48.61°
Fractional positions:
U (0.000, 0.000, 0.000)
Pa (0.709, 0.709, 0.000)
P (0.353, 0.353, 0.000)
N (0.103, 0.603, 0.500)
N (0.603, 0.103, 0.500)

Properties
space group	I4mm (107)
formation energy (no corrections)	-1.39	eV/atom
calculated volume	83.3	Å³/cell
total magnetic moment	1.9	μB/f.u.

***

Record 3
Compound: PaVP2N
Source: Alexandria via LeMat-Bulk
Functional: GGA-PBE
Structure: relaxed

a = 3.649 Å, b = 3.649 Å, c = 12.090 Å
α = 90.00°, β = 90.00°, γ = 90.00°
Fractional positions:
Pa (0.250, 0.250, 0.108)
Pa (0.750, 0.750, 0.892)
V (0.250, 0.250, 0.581)
V (0.750, 0.750, 0.419)
P (0.250, 0.250, 0.385)
P (0.250, 0.250, 0.777)
P (0.750, 0.750, 0.223)
P (0.750, 0.750, 0.615)
N (0.250, 0.750, 0.000)
N (0.750, 0.250, 0.000)

Properties
space group	P4/nmm (129)
formation energy (no corrections)	-0.89	eV/atom
calculated volume	161.0	Å³/cell
total magnetic moment	0.0	μB/f.u.

***

Record 4
Compound: Pa2VPN6
Source: Alexandria via LeMat-Bulk
Functional: GGA-PBE
Structure: relaxed

a = 5.152 Å, b = 5.152 Å, c = 4.298 Å
α = 90.00°, β = 90.00°, γ = 90.00°
Fractional positions:
Pa (0.000, 0.500, 0.000)
Pa (0.500, 0.000, 0.000)
V (0.000, 0.000, 0.573)
P (0.500, 0.500, 0.546)
N (0.000, 0.000, 0.114)
N (0.268, 0.268, 0.658)
N (0.268, 0.732, 0.658)
N (0.500, 0.500, 0.164)
N (0.732, 0.268, 0.658)
N (0.732, 0.732, 0.658)

Properties
space group	P4mm (99)
formation energy (no corrections)	-0.91	eV/atom
calculated volume	114.1	Å³/cell
total magnetic moment	1.9	μB/f.u.

***

Record 5
Compound: YPa2PN5
Source: Alexandria via LeMat-Bulk
Functional: GGA-PBE
Structure: relaxed

a = 6.596 Å, b = 6.596 Å, c = 5.375 Å
α = 90.00°, β = 90.00°, γ = 90.00°
Fractional positions:
Y (0.000, 0.000, 0.000)
Y (0.500, 0.500, 0.000)
Pa (0.176, 0.324, 0.500)
Pa (0.324, 0.824, 0.500)
Pa (0.676, 0.176, 0.500)
Pa (0.824, 0.676, 0.500)
P (0.000, 0.500, 0.000)
P (0.500, 0.000, 0.000)
N (0.000, 0.000, 0.500)
N (0.139, 0.639, 0.235)
N (0.139, 0.639, 0.765)
N (0.361, 0.139, 0.235)
N (0.361, 0.139, 0.765)
N (0.500, 0.500, 0.500)
N (0.639, 0.861, 0.235)
N (0.639, 0.861, 0.765)
N (0.861, 0.361, 0.235)
N (0.861, 0.361, 0.765)

Properties
space group	P4/mbm (127)
formation energy (no corrections)	-1.07	eV/atom
calculated volume	233.8	Å³/cell
total magnetic moment	0.0	μB/f.u.

***

Record 6
Compound: YPa2P2N6
Source: Alexandria via LeMat-Bulk
Functional: GGA-PBE
Structure: relaxed

a = 4.617 Å, b = 4.617 Å, c = 8.372 Å
α = 90.00°, β = 90.00°, γ = 120.00°
Fractional positions:
Y (0.000, 0.000, 0.000)
Pa (0.333, 0.667, 0.653)
Pa (0.667, 0.333, 0.347)
P (0.333, 0.667, 0.988)
P (0.667, 0.333, 0.012)
N (0.130, 0.260, 0.332)
N (0.130, 0.870, 0.332)
N (0.260, 0.130, 0.668)
N (0.740, 0.870, 0.332)
N (0.870, 0.130, 0.668)
N (0.870, 0.740, 0.668)

Properties
space group	P-3m1 (164)
formation energy (no corrections)	0.08	eV/atom
calculated volume	154.6	Å³/cell
total magnetic moment	0.0	μB/f.u.

***

Record 7
Compound: YPa3P4N12
Source: Alexandria via LeMat-Bulk
Functional: GGA-PBE
Structure: relaxed

a = 6.890 Å, b = 6.890 Å, c = 6.890 Å
α = 103.58°, β = 103.58°, γ = 103.58°
Fractional positions:
Y (0.000, 0.000, 0.000)
Pa (0.000, 0.539, 0.461)
Pa (0.461, 0.000, 0.539)
Pa (0.539, 0.461, 0.000)
P (0.039, 0.500, 0.961)
P (0.500, 0.500, 0.500)
P (0.500, 0.961, 0.039)
P (0.961, 0.039, 0.500)
N (0.026, 0.646, 0.814)
N (0.108, 0.892, 0.500)
N (0.186, 0.354, 0.974)
N (0.353, 0.647, 0.500)
N (0.354, 0.974, 0.186)
N (0.500, 0.108, 0.892)
N (0.500, 0.353, 0.647)
N (0.646, 0.814, 0.026)
N (0.647, 0.500, 0.353)
N (0.814, 0.026, 0.646)
N (0.892, 0.500, 0.108)
N (0.974, 0.186, 0.354)

Properties
space group	R32 (155)
formation energy (no corrections)	-0.85	eV/atom
calculated volume	294.1	Å³/cell
total magnetic moment	0.0	μB/f.u.

***

Record 8
Compound: YPa2PN6
Source: Alexandria via LeMat-Bulk
Functional: GGA-PBE
Structure: relaxed

a = 5.255 Å, b = 5.255 Å, c = 4.993 Å
α = 90.00°, β = 90.00°, γ = 90.00°
Fractional positions:
Y (0.000, 0.000, 0.000)
Pa (0.000, 0.500, 0.443)
Pa (0.500, 0.000, 0.443)
P (0.500, 0.500, 0.054)
N (0.000, 0.000, 0.554)
N (0.278, 0.278, 0.181)
N (0.278, 0.722, 0.181)
N (0.500, 0.500, 0.716)
N (0.722, 0.278, 0.181)
N (0.722, 0.722, 0.181)

Properties
space group	P4mm (99)
formation energy (no corrections)	-0.97	eV/atom
calculated volume	137.9	Å³/cell
total magnetic moment	0.0	μB/f.u.

***

Record 9
Compound: YPaP2N6
Source: Alexandria via LeMat-Bulk
Functional: GGA-PBE
Structure: relaxed

a = 6.744 Å, b = 6.744 Å, c = 6.998 Å
α = 98.53°, β = 98.53°, γ = 110.55°
Fractional positions:
Y (0.076, 0.924, 0.750)
Y (0.924, 0.076, 0.250)
Pa (0.432, 0.568, 0.250)
Pa (0.568, 0.432, 0.750)
P (0.096, 0.425, 0.755)
P (0.425, 0.096, 0.255)
P (0.575, 0.904, 0.745)
P (0.904, 0.575, 0.245)
N (0.067, 0.457, 0.248)
N (0.077, 0.219, 0.605)
N (0.219, 0.077, 0.105)
N (0.318, 0.523, 0.920)
N (0.457, 0.067, 0.748)
N (0.477, 0.682, 0.580)
N (0.523, 0.318, 0.420)
N (0.543, 0.933, 0.252)
N (0.682, 0.477, 0.080)
N (0.781, 0.923, 0.895)
N (0.923, 0.781, 0.395)
N (0.933, 0.543, 0.752)

Properties
space group	C2/c (15)
formation energy (no corrections)	-0.89	eV/atom
calculated volume	287.8	Å³/cell
total magnetic moment	0.0	μB/f.u.

***

Record 10
Compound: PaZnP2N6
Source: Alexandria via LeMat-Bulk
Functional: GGA-PBE
Structure: relaxed

a = 7.244 Å, b = 7.244 Å, c = 5.305 Å
α = 105.69°, β = 105.69°, γ = 85.67°
Fractional positions:
Pa (0.125, 0.875, 0.750)
Pa (0.875, 0.125, 0.250)
Zn (0.317, 0.683, 0.250)
Zn (0.683, 0.317, 0.750)
P (0.218, 0.367, 0.825)
P (0.367, 0.218, 0.325)
P (0.633, 0.782, 0.675)
P (0.782, 0.633, 0.175)
N (0.047, 0.207, 0.676)
N (0.169, 0.594, 0.844)
N (0.207, 0.047, 0.176)
N (0.303, 0.382, 0.154)
N (0.382, 0.303, 0.654)
N (0.406, 0.831, 0.656)
N (0.594, 0.169, 0.344)
N (0.618, 0.697, 0.346)
N (0.697, 0.618, 0.846)
N (0.793, 0.953, 0.824)
N (0.831, 0.406, 0.156)
N (0.953, 0.793, 0.324)

Properties
space group	C2/c (15)
formation energy (no corrections)	-0.48	eV/atom
calculated volume	258.1	Å³/cell
total magnetic moment	0.0	μB/f.u.

***

Record 11
Compound: ZrPaPN
Source: Alexandria via LeMat-Bulk
Functional: GGA-PBE
Structure: relaxed

a = 3.991 Å, b = 3.991 Å, c = 8.848 Å
α = 90.00°, β = 90.00°, γ = 90.00°
Fractional positions:
Zr (0.250, 0.750, 0.000)
Zr (0.750, 0.250, 0.000)
Pa (0.250, 0.250, 0.369)
Pa (0.750, 0.750, 0.631)
P (0.250, 0.250, 0.792)
P (0.750, 0.750, 0.208)
N (0.250, 0.750, 0.500)
N (0.750, 0.250, 0.500)

Properties
space group	P4/nmm (129)
formation energy (no corrections)	-1.33	eV/atom
calculated volume	140.9	Å³/cell
total magnetic moment	0.0	μB/f.u.

***

Record 12
Compound: P2PbN
Source: Alexandria via LeMat-Bulk
Functional: GGA-PBE
Structure: relaxed

a = 4.606 Å, b = 4.606 Å, c = 4.606 Å
α = 60.00°, β = 60.00°, γ = 60.00°
Fractional positions:
P (0.250, 0.250, 0.250)
P (0.750, 0.750, 0.750)
Pb (0.000, 0.000, 0.000)
N (0.500, 0.500, 0.500)

Properties
relative energy among the computed polymorphs	988	meV/atom
space group	Fm-3m (225)
formation energy (no corrections)	1.66	eV/atom
calculated volume	69.1	Å³/cell
total magnetic moment	1.0	μB/f.u.